Record 1
Ti3Mn4Ga | PBE | relaxed

abc: 3.015 3.015 11.703
angles: 90.00 90.00 90.00
Positions (direct):
1 Ti 0.000 0.000 0.000
2 Ti 0.000 0.000 0.252
3 Ti 0.000 0.000 0.748
4 Mn 0.500 0.500 0.128
5 Mn 0.500 0.500 0.379
6 Mn 0.500 0.500 0.621
7 Mn 0.500 0.500 0.872
8 Ga 0.000 0.000 0.500

Properties
ΔE_f, kJ per mole of atoms: -22
Total moment, μB per formula unit: 4.19

=====

Record 2
Sm7Dy12Er | PBE | relaxed

abc: 9.767 9.767 9.767
angles: 109.47 109.47 109.47
Positions (direct):
1 Sm 0.000 0.000 0.500
2 Sm 0.000 0.500 0.000
3 Sm 0.000 0.500 0.500
4 Sm 0.500 0.000 0.000
5 Sm 0.500 0.000 0.500
6 Sm 0.500 0.500 0.000
7 Sm 0.500 0.500 0.500
8 Dy 0.000 0.247 0.753
9 Dy 0.000 0.753 0.247
10 Dy 0.247 0.000 0.753
11 Dy 0.247 0.247 0.494
12 Dy 0.247 0.494 0.247
13 Dy 0.247 0.753 0.000
14 Dy 0.494 0.247 0.247
15 Dy 0.506 0.753 0.753
16 Dy 0.753 0.000 0.247
17 Dy 0.753 0.247 0.000
18 Dy 0.753 0.506 0.753
19 Dy 0.753 0.753 0.506
20 Er 0.000 0.000 0.000

Properties
ΔE_f, kJ per mole of atoms: 64
Offset from the most stable computed form, eV/atom: 0.383
Total moment, μB per formula unit: 0.00